The following is a PBE calculation of a geometry-optimized Sc2AgOs structure, from Alexandria via LeMat-Bulk.

Cell: 7.2958 7.2958 5.9476 Å, 52.17 52.17 90.00°
Closest atoms and distances in Å follow each position.
Fractional positions:
1 Sc 0.1014 0.6250 0.2500  2 Os 2.57, 2 Ag 2.80
2 Sc 0.8750 0.8986 0.7500  2 Os 2.57, 2 Ag 2.80
3 Sc 0.6486 0.1250 0.2500  2 Os 2.57, 2 Ag 2.80
4 Sc 0.3750 0.3514 0.7500  2 Os 2.57, 2 Ag 2.80
5 Os 0.0000 0.0000 0.0000  4 Sc 2.57
6 Os 0.7500 0.2500 0.5000  4 Sc 2.57
7 Ag 0.5000 0.5000 0.0000  4 Sc 2.80, 2 Os 2.96
8 Ag 0.2500 0.7500 0.5000  4 Sc 2.80, 2 Os 2.96

- volume (A^3/atom) = 19.692
- polymorph energy (0 for the lowest one) (kJ per mole of atoms) = 54.9
- total magnetization (μB/cell) = 0.00
- ΔH_f (0 K) (eV per atom) = 0.1232